VASP calculation (PBE) on a relaxed CoSnTe2I crystal.

Geometry as extended XYZ:
```
5
Lattice="5.066 0.000 0.000 0.000 5.066 0.000 0.000 0.000 5.409" Properties=species:S:1:pos:R:3 pbc="T T T"
I 0.000 0.000 2.704
Te 2.533 0.000 0.000
Te 0.000 2.533 0.000
Co 0.000 0.000 0.000
Sn 2.533 2.533 2.704
```

**Symmetry**: P4/mmm
**Volume**: 138.80 Å³ per cell
**Density of states at the Fermi level**: 1.20 states/eV per atom
**Excess energy over the best structure of this formula in the dataset**: 0 meV per atom